## FeGeBr (PBE)

Data for an optimized crystal structure of FeGeBr.

a = 3.549 Å, b = 4.281 Å, c = 9.505 Å
α = 85.75°, β = 82.91°, γ = 65.56°
Site moments in Bohr magnetons follow the coordinates.
Fractional positions:
Br 0.530 0.921 0.743  0.05
Br 0.980 0.448 0.095  0.01
Ge 0.140 0.002 0.290  0.00
Ge 0.378 0.395 0.487  -0.10
Fe 0.813 0.616 0.349  -0.34
Fe 0.054 0.997 0.554  2.10

## Properties
Total magnetic moment in μB per atom: 0.289
VASP energy in eV per cell: -29.414
Energy above the most stable polymorph in this dataset in eV/atom: 0.1021
Space-group type: No. 1
Uncorrected formation energy in eV/atom: 0.0154